(1)
Below is Er3Ga5 after structural relaxation, with properties calculated at the PBE level.

a = 5.933 Å, b = 13.145 Å, c = 17.812 Å
α = 90.00°, β = 90.00°, γ = 90.00°
Space group Fddd (No. 70, origin choice 2)
Asymmetric unit:
Er  0.125  0.125  0.125 [8 per cell]
Er  0.125  0.125  0.450 [16 per cell]
Ga  0.095  0.030  0.294 [32 per cell]
Ga  0.125  0.125  0.625 [8 per cell]

**ΔE_f**: -0.522 eV per atom
**E**: -4.1246 eV per atom

***

(2)
Below is AlCd2Cu after structural relaxation, with properties calculated at the PBE level.

a = 2.823 Å, b = 4.172 Å, c = 13.169 Å
α = 90.00°, β = 90.00°, γ = 90.00°
Space group Immm (No. 71)
Asymmetric unit:
Al  0.000  0.000  0.000 [2 per cell]
Cd  0.000  0.500  0.184 [4 per cell]
Cu  0.000  0.000  0.500 [2 per cell]

**ΔE_f**: 0.009 eV per atom
**E**: -2.4087 eV per atom

***

(3)
Below is NaHo2Rh after structural relaxation, with properties calculated at the PBE level.

a = 3.447 Å, b = 3.447 Å, c = 9.269 Å
α = 90.00°, β = 90.00°, γ = 90.00°
Space group P4/mmm (No. 123)
Asymmetric unit:
Na  0.000  0.000  0.000 [1 per cell]
Ho  0.500  0.500  0.326 [2 per cell]
Rh  0.000  0.000  0.500 [1 per cell]

**ΔE_f**: -0.372 eV per atom
**E**: -4.8282 eV per atom

***

(4)
Below is Ta2CrAg after structural relaxation, with properties calculated at the PBE level.

a = 2.8712 Å, b = 2.8712 Å, c = 28.6706 Å
α = 90.00°, β = 90.00°, γ = 120.00°
Space group R-3m (No. 166, hexagonal axes)
Asymmetric unit:
Ta  0.0000  0.0000  0.2453 [6 per cell]
Cr  0.0000  0.0000  0.5000 [3 per cell]
Ag  0.0000  0.0000  0.0000 [3 per cell]

**ΔE_f**: 0.432 eV per atom
**E**: -8.6127 eV per atom

***

(5)
Below is CuCl3 after structural relaxation, with properties calculated at the PBE level.

a = 4.342 Å, b = 4.342 Å, c = 4.342 Å
α = 90.00°, β = 90.00°, γ = 90.00°
Space group Pm-3m (No. 221)
Asymmetric unit:
Cu  0.000  0.000  0.000 [1 per cell]
Cl  0.000  0.500  0.500 [3 per cell]

**ΔE_f (raw)**: 584.1 meV per atom
**E**: -1.8249 eV per atom

***

(6)
Below is LiBeAlO3 after structural relaxation, with properties calculated at the PBE level.

a = 2.775 Å, b = 9.554 Å, c = 8.167 Å
α = 90.00°, β = 90.00°, γ = 90.00°
Space group Cmcm (No. 63)
Asymmetric unit:
Li  0.000  0.250  0.250 [4 per cell]
Be  0.000  0.017  0.750 [4 per cell]
Al  0.000  0.500  0.000 [4 per cell]
O  0.000  0.108  0.586 [8 per cell]
O  0.000  0.421  0.750 [4 per cell]

**ΔE_f (raw)**: -2520.1 meV per atom
**E**: -6.5629 eV per atom

***

(7)
Below is Be2CoAu after structural relaxation, with properties calculated at the PBE level.

a = 2.6661 Å, b = 2.6661 Å, c = 23.5749 Å
α = 90.00°, β = 90.00°, γ = 120.00°
Space group R3m (No. 160, hexagonal axes)
Asymmetric unit:
Be  0.0000  0.0000  0.0000 [3 per cell]
Be  0.0000  0.0000  0.2583 [3 per cell]
Co  0.0000  0.0000  0.5207 [3 per cell]
Au  0.0000  0.0000  0.7540 [3 per cell]

**ΔE_f**: 0.293 eV per atom
**E**: -4.1661 eV per atom

***

(8)
Below is TbErCdIn after structural relaxation, with properties calculated at the PBE level.

a = 7.481 Å, b = 7.481 Å, c = 7.481 Å
α = 90.00°, β = 90.00°, γ = 90.00°
Space group F-43m (No. 216)
Asymmetric unit:
Tb  0.000  0.000  0.000 [4 per cell]
Er  0.000  0.000  0.500 [4 per cell]
Cd  0.250  0.250  0.750 [4 per cell]
In  0.250  0.250  0.250 [4 per cell]

**ΔE_f**: -0.402 eV per atom
**E**: -3.6140 eV per atom

***

(9)
Below is AcPrTeP after structural relaxation, with properties calculated at the PBE level.

a = 4.3557 Å, b = 4.3557 Å, c = 23.3823 Å
α = 90.00°, β = 90.00°, γ = 120.00°
Space group R3m (No. 160, hexagonal axes)
Asymmetric unit:
Ac  0.0000  0.0000  0.0000 [3 per cell]
Pr  0.0000  0.0000  0.1918 [3 per cell]
Te  0.0000  0.0000  0.4325 [3 per cell]
P  0.0000  0.0000  0.5933 [3 per cell]

**ΔE_f (raw)**: -1509.2 meV per atom
**E**: -5.8691 eV per atom

***

(10)
Below is CoAu2Se after structural relaxation, with properties calculated at the PBE level.

a = 3.0519 Å, b = 3.0519 Å, c = 26.9368 Å
α = 90.00°, β = 90.00°, γ = 120.00°
Space group R3m (No. 160, hexagonal axes)
Asymmetric unit:
Co  0.0000  0.0000  0.0000 [3 per cell]
Au  0.0000  0.0000  0.4976 [3 per cell]
Au  0.0000  0.0000  0.7422 [3 per cell]
Se  0.0000  0.0000  0.2818 [3 per cell]

**ΔE_f (raw)**: 63.2 meV per atom
**E**: -4.2231 eV per atom

***

(11)
Below is TbGd2Cl after structural relaxation, with properties calculated at the PBE level.

a = 3.6344 Å, b = 3.6344 Å, c = 30.1155 Å
α = 90.00°, β = 90.00°, γ = 120.00°
Space group R-3m (No. 166, hexagonal axes)
Asymmetric unit:
Tb  0.0000  0.0000  0.0000 [3 per cell]
Gd  0.0000  0.0000  0.2392 [6 per cell]
Cl  0.0000  0.0000  0.5000 [3 per cell]

**ΔE_f (raw)**: -667.2 meV per atom
**E**: -9.3269 eV per atom

***

(12)
Below is Li2Ga8Pd after structural relaxation, with properties calculated at the PBE level.

a = 4.120 Å, b = 4.120 Å, c = 11.167 Å
α = 90.00°, β = 90.00°, γ = 90.00°
Space group P4/mmm (No. 123)
Asymmetric unit:
Li  0.000  0.000  0.179 [2 per cell]
Ga  0.000  0.500  0.000 [2 per cell]
Ga  0.000  0.500  0.360 [4 per cell]
Ga  0.500  0.500  0.189 [2 per cell]
Pd  0.000  0.000  0.500 [1 per cell]

**ΔE_f**: -0.251 eV per atom
**E**: -3.2721 eV per atom